A plane-wave DFT calculation with PBE was carried out for a relaxed ZrTl2Au crystal.

## Properties
ΔE_f, meV per atom: -86.8

abc: 3.4167 3.4138 9.0234
angles: 67.67 90.00 90.00
Last column: nearest neighbours and their distance in Å.
Fractional coordinates of all 4 atoms:
Zr 0.0000 0.4723 0.5278  4 Au 2.90, 4 Tl 3.20
Tl 0.0000 0.0234 0.9762  4 Au 3.23, 8 Tl 3.41-3.49
Au 0.5000 0.7799 0.7195  4 Zr 2.90, 4 Tl 3.23
Tl 0.5000 0.2244 0.2765  4 Zr 3.20, 8 Tl 3.41-3.49


A plane-wave DFT calculation with PBE was carried out for a relaxed ZrTlAu crystal.

## Properties
ΔE_f, meV per atom: -58.0

abc: 3.4106 3.4106 6.8646
angles: 90.00 90.00 120.00
Last column: nearest neighbours and their distance in Å.
Fractional coordinates of all 3 atoms:
Au 0.0000 0.0000 0.9860  3 Zr 2.85, 3 Tl 3.06
Tl 0.6667 0.3333 0.3273  3 Au 3.06, 3 Zr 3.16, 6 Tl 3.41
Zr 0.3333 0.6667 0.6867  3 Au 2.85, 3 Tl 3.16


A plane-wave DFT calculation with PBE was carried out for a relaxed ZrTlAu crystal.

## Properties
ΔE_f, meV per atom: -266.2

abc: 11.5584 3.5680 3.5704
angles: 90.00 72.09 90.00
Last column: nearest neighbours and their distance in Å.
Fractional coordinates of all 6 atoms:
Tl 0.3000 0.1372 0.4413  4 Au 3.21, 8 Tl 3.40-3.57, 1 Zr 3.40
Zr 0.7825 0.6368 0.4607  4 Au 2.89, 4 Zr 3.16
Au 0.9114 0.1368 0.8323  4 Zr 2.89, 4 Tl 3.21
Tl 0.0921 0.6371 0.1518  4 Au 3.21, 8 Tl 3.40-3.57, 1 Zr 3.40
Au 0.4808 0.6369 0.7609  4 Zr 2.89, 4 Tl 3.21
Zr 0.6096 0.1369 0.1326  4 Au 2.89, 4 Zr 3.16


A plane-wave DFT calculation with PBE was carried out for a relaxed ZrTlAu crystal.

## Properties
ΔE_f, meV per atom: -45.3

abc: 5.2571 5.2571 5.2571
angles: 143.39 130.54 63.08
Last column: nearest neighbours and their distance in Å.
Fractional coordinates of all 3 atoms:
Tl 0.3323 0.3323 0.0000  5 Au 2.95-3.15, 5 Zr 2.98-3.13, 2 Tl 3.30
Au 0.0026 0.0026 0.0000  5 Tl 2.95-3.15, 5 Zr 3.02-3.11, 2 Au 3.30
Zr 0.6651 0.6651 0.0000  5 Tl 2.98-3.13, 5 Au 3.02-3.11, 2 Zr 3.30


A plane-wave DFT calculation with PBE was carried out for a relaxed Zr3TlAu2 crystal.

## Properties
ΔE_f, meV per atom: -351.8

abc: 3.1622 3.1622 12.5041
angles: 90.00 90.00 90.00
Last column: nearest neighbours and their distance in Å.
Fractional coordinates of all 6 atoms:
Zr 0.0000 0.0000 0.6801  4 Au 2.99, 4 Zr 3.16, 4 Tl 3.17
Tl 0.5000 0.5000 0.5000  4 Tl 3.16, 8 Zr 3.17
Au 0.5000 0.5000 0.8386  8 Zr 2.99-3.01, 4 Au 3.16
Zr 0.0000 0.0000 0.0000  8 Au 3.01, 4 Zr 3.16
Zr 0.0000 0.0000 0.3199  4 Au 2.99, 4 Zr 3.16, 4 Tl 3.17
Au 0.5000 0.5000 0.1614  8 Zr 2.99-3.01, 4 Au 3.16


A plane-wave DFT calculation with PBE was carried out for a relaxed ZrTl2Au crystal.

## Properties
ΔE_f, meV per atom: 39.5

abc: 4.7103 3.3147 5.9334
angles: 84.05 90.00 90.00
Last column: nearest neighbours and their distance in Å.
Fractional coordinates of all 4 atoms:
Au 0.5000 0.7500 0.7500  4 Tl 2.87
Tl 0.0000 0.9288 0.9980  2 Au 2.87, 2 Zr 3.04, 1 Tl 3.10
Tl 0.0000 0.5712 0.5020  2 Au 2.87, 2 Zr 3.04, 1 Tl 3.10
Zr 0.5000 0.2500 0.2500  4 Tl 3.04, 2 Au 3.24, 2 Zr 3.31


A plane-wave DFT calculation with PBE was carried out for a relaxed ZrTlAu crystal.

## Properties
ΔE_f, meV per atom: -85.6

abc: 4.2161 4.2161 7.6618
angles: 90.00 90.00 90.00
Last column: nearest neighbours and their distance in Å.
Fractional coordinates of all 6 atoms:
Zr 0.5000 0.0000 0.8476  1 Au 2.68
Tl 0.0000 0.0000 0.5000  4 Tl 2.98, 4 Au 3.14
Zr 0.0000 0.5000 0.1524  1 Au 2.68
Tl 0.5000 0.5000 0.5000  4 Tl 2.98, 4 Au 3.14
Au 0.0000 0.5000 0.8033  1 Zr 2.68
Au 0.5000 0.0000 0.1967  1 Zr 2.68


A plane-wave DFT calculation with PBE was carried out for a relaxed ZrTl3Au crystal.

## Properties
ΔE_f, meV per atom: 755.3

abc: 5.6892 5.6892 5.6892
angles: 90.00 90.00 90.00
Last column: nearest neighbours and their distance in Å.
Fractional coordinates of all 5 atoms:
Tl 0.0000 0.0000 0.5000  2 Zr 2.84
Tl 0.0000 0.5000 0.0000  2 Zr 2.84
Au 0.5000 0.5000 0.5000  12 Tl 4.02
Zr 0.0000 0.0000 0.0000  6 Tl 2.84
Tl 0.5000 0.0000 0.0000  2 Zr 2.84


A plane-wave DFT calculation with PBE was carried out for a relaxed ZrTl2Au crystal.

## Properties
ΔE_f, meV per atom: 16.5

abc: 5.5141 5.5141 3.1833
angles: 90.00 90.00 108.46
Last column: nearest neighbours and their distance in Å.
Fractional coordinates of all 4 atoms:
Tl 0.5000 0.5000 0.0000  4 Tl 3.18-3.22, 4 Zr 3.18, 4 Au 3.18
Zr 0.5000 0.0000 0.5000  2 Zr 3.18, 8 Tl 3.18, 2 Au 3.22
Tl 0.0000 0.0000 0.0000  4 Tl 3.18-3.22, 4 Au 3.18, 4 Zr 3.18
Au 0.0000 0.5000 0.5000  2 Au 3.18, 8 Tl 3.18, 2 Zr 3.22


A plane-wave DFT calculation with PBE was carried out for a relaxed ZrTlAu crystal.

## Properties
ΔE_f, meV per atom: 1.1

abc: 8.1731 8.1731 9.1836
angles: 133.22 133.22 57.38
Last column: nearest neighbours and their distance in Å.
Fractional coordinates of all 12 atoms:
Au 0.0705 0.5705 0.1411  4 Zr 2.72-2.79, 2 Tl 3.04
Tl 0.6250 0.3750 0.2500  2 Au 3.04, 2 Zr 3.27
Zr 0.8761 0.8761 0.0000  4 Au 2.72-2.79
Zr 0.3739 0.8739 0.5000  4 Au 2.72-2.79
Zr 0.1239 0.1239 0.0000  4 Au 2.72-2.79
Tl 0.6250 0.3750 0.7500  2 Au 3.04, 2 Zr 3.27
Tl 0.6250 0.8750 0.2500  2 Au 3.04, 2 Zr 3.27
Tl 0.1250 0.3750 0.7500  2 Au 3.04, 2 Zr 3.27
Au 0.8205 0.8205 0.6411  4 Zr 2.72-2.79, 2 Tl 3.04
Au 0.4295 0.9295 0.8589  4 Zr 2.72-2.79, 2 Tl 3.04
Zr 0.1261 0.6261 0.5000  4 Au 2.72-2.79
Au 0.1795 0.1795 0.3589  4 Zr 2.72-2.79, 2 Tl 3.04


A plane-wave DFT calculation with PBE was carried out for a relaxed ZrTl2Au crystal.

## Properties
ΔE_f, meV per atom: 126.6

abc: 7.9743 7.9743 6.4176
angles: 51.59 51.59 90.00
Last column: nearest neighbours and their distance in Å.
Fractional coordinates of all 8 atoms:
Zr 0.2500 0.7500 0.5000  4 Tl 3.03, 2 Au 3.06
Au 0.0000 0.0000 0.0000  4 Tl 2.82, 2 Zr 3.06
Tl 0.6440 0.1250 0.2500  2 Au 2.82, 2 Zr 3.03, 2 Tl 3.08
Tl 0.1060 0.6250 0.2500  2 Au 2.82, 2 Zr 3.03, 2 Tl 3.08
Zr 0.5000 0.5000 0.0000  4 Tl 3.03, 2 Au 3.06
Au 0.7500 0.2500 0.5000  4 Tl 2.82, 2 Zr 3.06
Tl 0.8750 0.8940 0.7500  2 Au 2.82, 2 Zr 3.03, 2 Tl 3.08
Tl 0.3750 0.3560 0.7500  2 Au 2.82, 2 Zr 3.03, 2 Tl 3.08


A plane-wave DFT calculation with PBE was carried out for a relaxed ZrTl2Au crystal.

## Properties
ΔE_f, meV per atom: 96.4

abc: 3.3384 3.3384 9.7512
angles: 90.00 90.00 119.42
Last column: nearest neighbours and their distance in Å.
Fractional coordinates of all 4 atoms:
Zr 0.5000 0.5000 0.2500  4 Tl 3.05, 6 Zr 3.34-3.37
Au 0.5000 0.5000 0.7500  4 Tl 2.88
Tl 0.0000 0.0000 0.5108  2 Au 2.88, 2 Zr 3.05
Tl 0.0000 0.0000 0.9892  2 Au 2.88, 2 Zr 3.05


A plane-wave DFT calculation with PBE was carried out for a relaxed ZrTl2Au crystal.

## Properties
ΔE_f, meV per atom: 102.5

abc: 5.8809 5.8809 5.8809
angles: 137.07 137.07 62.33
Last column: nearest neighbours and their distance in Å.
Fractional coordinates of all 4 atoms:
Zr 0.2500 0.7500 0.5000  4 Au 3.04, 8 Tl 3.31
Tl 0.0000 0.0000 0.0000  4 Tl 3.04, 4 Zr 3.31, 4 Au 3.31
Au 0.7500 0.2500 0.5000  4 Zr 3.04, 8 Tl 3.31
Tl 0.5000 0.5000 0.0000  4 Tl 3.04, 4 Au 3.31, 4 Zr 3.31


A plane-wave DFT calculation with PBE was carried out for a relaxed ZrTl2Au crystal.

## Properties
ΔE_f, meV per atom: 180.3

abc: 5.0488 5.0488 5.0488
angles: 60.00 60.00 60.00
Last column: nearest neighbours and their distance in Å.
Fractional coordinates of all 4 atoms:
Tl 0.2500 0.2500 0.2500  4 Zr 3.09, 4 Au 3.09
Au 0.5000 0.5000 0.5000  8 Tl 3.09
Zr 0.0000 0.0000 0.0000  8 Tl 3.09
Tl 0.7500 0.7500 0.7500  4 Au 3.09, 4 Zr 3.09


A plane-wave DFT calculation with PBE was carried out for a relaxed ZrTlAu crystal.

## Properties
ΔE_f, meV per atom: -149.8

abc: 7.2970 3.3151 6.1156
angles: 105.69 107.47 76.76
Last column: nearest neighbours and their distance in Å.
Fractional coordinates of all 6 atoms:
Zr 0.0203 0.9199 0.5201  3 Au 2.83-2.96, 1 Tl 3.09
Tl 0.1099 0.6348 0.0341  3 Au 2.91-2.98, 3 Zr 3.09-3.18
Au 0.3882 0.9024 0.8511  3 Zr 2.83-2.93, 1 Au 2.89, 4 Tl 2.96-2.98
Zr 0.3920 0.1967 0.4419  4 Au 2.93-3.01, 2 Tl 3.17-3.18, 2 Zr 3.24-3.25
Au 0.7371 0.6447 0.6853  1 Au 2.89, 2 Tl 2.91-3.07, 4 Zr 2.95-3.01
Tl 0.6981 0.3987 0.1537  5 Au 2.96-3.29, 2 Zr 3.18


A plane-wave DFT calculation with PBE was carried out for a relaxed Zr4TlAu3 crystal.

## Properties
ΔE_f, meV per atom: -326.1

abc: 3.2759 5.0728 10.0851
angles: 90.00 90.00 90.00
Last column: nearest neighbours and their distance in Å.
Fractional coordinates of all 8 atoms:
Zr 0.0000 0.0000 0.0000  4 Au 3.01, 4 Tl 3.02, 2 Zr 3.28
Au 0.5000 0.5000 0.5000  8 Zr 2.92-3.02
Zr 0.0000 0.0000 0.5000  8 Au 3.00-3.02, 2 Zr 3.28
Au 0.5000 0.0000 0.2506  8 Zr 3.00-3.02, 2 Au 3.28
Zr 0.0000 0.5000 0.7399  6 Au 2.92-3.02, 2 Tl 3.09
Tl 0.5000 0.5000 0.0000  8 Zr 3.02-3.09, 2 Tl 3.28
Zr 0.0000 0.5000 0.2601  6 Au 2.92-3.02, 2 Tl 3.09
Au 0.5000 0.0000 0.7494  8 Zr 3.00-3.02, 2 Au 3.28


A plane-wave DFT calculation with PBE was carried out for a relaxed Zr6TlAu crystal.

## Properties
ΔE_f, meV per atom: -236.3

abc: 7.9057 7.9048 5.5877
angles: 45.00 45.00 60.00
Last column: nearest neighbours and their distance in Å.
Fractional coordinates of all 8 atoms:
Zr 0.7541 0.9998 0.7467  2 Zr 2.75-2.84
Zr 0.9999 0.5004 0.2539  2 Zr 2.75-2.84
Zr 0.2459 0.0002 0.2533  2 Zr 2.75-2.84
Tl 0.5000 0.5000 0.5000  12 Zr 3.13-3.14
Zr 0.4998 0.7541 0.7462  2 Zr 2.75-2.84
Zr 0.5002 0.2459 0.2538  2 Zr 2.75-2.84
Zr 0.0001 0.4996 0.7461  2 Zr 2.75-2.84
Au 0.0000 0.0000 0.0000  12 Zr 3.11-3.12


A plane-wave DFT calculation with PBE was carried out for a relaxed ZrTlAu crystal.

## Properties
ΔE_f, meV per atom: -187.2

abc: 6.3266 6.3266 3.3516
angles: 74.64 74.64 30.72
Last column: nearest neighbours and their distance in Å.
Fractional coordinates of all 3 atoms:
Tl 0.3363 0.3363 0.6637  4 Au 3.13, 4 Zr 3.20, 4 Tl 3.35
Au 0.0105 0.0105 0.9895  4 Zr 2.90, 4 Tl 3.13
Zr 0.6532 0.6532 0.3468  4 Au 2.90, 4 Tl 3.20


A plane-wave DFT calculation with PBE was carried out for a relaxed ZrTlAu crystal.

## Properties
ΔE_f, meV per atom: -217.3

abc: 13.1962 3.2622 4.6263
angles: 135.22 90.00 97.03
Last column: nearest neighbours and their distance in Å.
Fractional coordinates of all 6 atoms:
Au 0.7700 0.5371 0.4746  8 Zr 2.96-3.03, 4 Au 3.26
Au 0.4790 0.2503 0.3310  4 Zr 2.93-2.94, 4 Tl 3.14-3.16, 4 Au 3.26
Zr 0.9130 0.6801 0.0463  4 Au 2.96-2.97, 4 Tl 3.17-3.19, 4 Zr 3.26
Tl 0.0816 0.8494 0.6309  5 Tl 3.02-3.26, 4 Zr 3.17-3.19
Zr 0.6188 0.3887 0.9003  8 Au 2.93-3.03, 4 Zr 3.26
Tl 0.3139 0.0871 0.7493  5 Tl 3.02-3.26, 4 Au 3.14-3.16


A plane-wave DFT calculation with PBE was carried out for a relaxed ZrTl2Au crystal.

## Properties
ΔE_f, meV per atom: 140.7

abc: 5.0828 5.0828 5.0828
angles: 60.00 60.00 60.00
Last column: nearest neighbours and their distance in Å.
Fractional coordinates of all 4 atoms:
Au 0.5000 0.5000 0.5000  4 Zr 3.11, 4 Tl 3.11
Tl 0.2500 0.2500 0.2500  4 Tl 3.11, 4 Au 3.11
Tl 0.0000 0.0000 0.0000  4 Tl 3.11, 4 Zr 3.11
Zr 0.7500 0.7500 0.7500  4 Au 3.11, 4 Tl 3.11


| no. | ρ (kg/m³) |
| --- | --- |
| 1 | 11888 |
| 2 | 11828 |
| 3 | 11675 |
| 4 | 12569 |
| 5 | 11581 |
| 6 | 12561 |
| 7 | 12012 |
| 8 | 8128 |
| 9 | 12606 |
| 10 | 10133 |
| 11 | 11878 |
| 12 | 12226 |
| 13 | 12415 |
| 14 | 12717 |
| 15 | 12201 |
| 16 | 11495 |
| 17 | 9023 |
| 18 | 12413 |
| 19 | 11841 |
| 20 | 12464 |